Below is a relaxed structure of BaY2Al, with properties calculated at the PBE level.

```
BaY2Al
1.0
5.140 0.000 0.000
0.000 3.742 0.004
0.000 1.884 6.876
Y Al Ba
2 1 1
Direct
0.000 0.071 0.046
0.000 0.429 0.454
0.500 0.250 0.250
0.500 0.750 0.750
```

Calculated values
The value obtained for the volume is 132.21 Å³ per cell. The value obtained for the mass density is 4.30 g cm⁻³. The total DFT energy (no corrections) is -4.549 eV/atom. The formation energy comes out at 0.099 eV/atom. The calculation puts the magnetization at 0.000 μB/f.u. For the density of states at the Fermi level, the calculation gives 5.5 states/eV/f.u.